Entry 1:
Here is crystalline AcLa8Cd2 at its relaxed geometry from the Alexandria database. Energies are from GGA-PBE.

Unit cell a=5.985 b=9.224 c=9.011 alpha=59.22 beta=79.44 gamma=69.02
Sites, in units of the cell vectors:
Ac 0.500 0.000 0.000
La 0.697 0.593 0.000
La 0.500 0.769 0.462
La 0.500 0.231 0.538
La 0.102 0.693 0.223
La 0.102 0.916 0.777
La 0.898 0.084 0.223
La 0.898 0.307 0.777
La 0.303 0.407 0.000
Cd 0.000 0.692 0.617
Cd 0.000 0.308 0.383

Results
* energy above the lowest structure with this stoichiometry: 0.074 eV per atom
* total energy: -0.304 Ry per atom
* formation enthalpy at 0 K: -0.0118 eV per atom

***

Entry 2:
Here is crystalline LiAcLaCd at its relaxed geometry from the Alexandria database. Energies are from GGA-PBE.

Unit cell a=5.644 b=5.644 c=5.644 alpha=60.00 beta=60.00 gamma=60.00
Sites, in units of the cell vectors:
Cd 0.750 0.750 0.750
Li 0.250 0.250 0.250
La 0.000 0.000 0.000
Ac 0.500 0.500 0.500

Results
* total energy: -0.227 Ry per atom
* formation enthalpy at 0 K: -0.1179 eV per atom

***

Entry 3:
Here is crystalline AcLaLuCd at its relaxed geometry from the Alexandria database. Energies are from GGA-PBE.

Unit cell a=5.724 b=5.724 c=5.724 alpha=60.00 beta=60.00 gamma=60.00
Sites, in units of the cell vectors:
Cd 0.750 0.750 0.750
Ac 0.500 0.500 0.500
Lu 0.250 0.250 0.250
La 0.000 0.000 0.000

Results
* total energy: -0.270 Ry per atom
* formation enthalpy at 0 K: -0.0489 eV per atom

***

Entry 4:
Here is crystalline AcLaMgCd at its relaxed geometry from the Alexandria database. Energies are from GGA-PBE.

Unit cell a=4.032 b=4.032 c=8.009 alpha=90.00 beta=90.00 gamma=90.00
Sites, in units of the cell vectors:
La 0.500 0.500 0.605
Ac 0.500 0.500 0.107
Mg 0.000 0.000 0.841
Cd 0.000 0.000 0.375

Results
* energy above the lowest structure with this stoichiometry: 0.000 eV per atom
* total energy: -0.227 Ry per atom
* formation enthalpy at 0 K: -0.2022 eV per atom

***

Entry 5:
Here is crystalline AcLaMgCd at its relaxed geometry from the Alexandria database. Energies are from GGA-PBE.

Unit cell a=5.683 b=5.683 c=5.683 alpha=60.00 beta=60.00 gamma=60.00
Sites, in units of the cell vectors:
Mg 0.250 0.250 0.250
La 0.000 0.000 0.000
Cd 0.750 0.750 0.750
Ac 0.500 0.500 0.500

Results
* energy above the lowest structure with this stoichiometry: 0.008 eV per atom
* total energy: -0.226 Ry per atom
* formation enthalpy at 0 K: -0.1947 eV per atom

***

Entry 6:
Here is crystalline AcLa2CdN at its relaxed geometry from the Alexandria database. Energies are from GGA-PBE.

Unit cell a=5.361 b=5.144 c=5.144 alpha=90.00 beta=90.00 gamma=90.00
Sites, in units of the cell vectors:
Cd 0.500 0.500 0.500
La 0.000 0.000 0.500
La 0.000 0.500 0.000
N 0.000 0.000 0.000
Ac 0.500 0.000 0.000

Results
* raw formation energy: -322 kJ/mol of formula units
* total energy: -0.390 Ry per atom

***

Number 1: theoretical density 6.50 g/cm3, Fermi-level density of states 13.427 states/eV per cell. Number 2: theoretical density 6.34 g/cm3, Fermi-level density of states 5.838 states/eV per cell. Number 3: theoretical density 8.18 g/cm3, Fermi-level density of states 4.526 states/eV per cell. Number 4: theoretical density 6.41 g/cm3, Fermi-level density of states 5.343 states/eV per cell. Number 5: theoretical density 6.43 g/cm3, Fermi-level density of states 4.250 states/eV per cell. Number 6: theoretical density 7.39 g/cm3, Fermi-level density of states 5.137 states/eV per cell.